Below is a geometry-optimized AcNpFeO6 structure, with properties calculated at the PBE with a Hubbard U level.

Results
Calculated total energy = -147.76 eV for the cell shown
ρ = 7.69 Mg/m³
Symmetry = P-31c

```
data_AcNpFeO6
_cell_length_a 6.035
_cell_length_b 6.035
_cell_length_c 8.430
_cell_angle_alpha 90.00
_cell_angle_beta 90.00
_cell_angle_gamma 120.00
_space_group_name_H-M_alt 'P 1'
_space_group_IT_number 1
_space_group_name_Hall 'P 1'
loop_
_atom_site_label
_atom_site_fract_x
_atom_site_fract_y
_atom_site_fract_z
_atom_site_occupancy
Ac1 0.333 0.667 0.250 1
Ac2 0.667 0.333 0.750 1
Np1 0.333 0.667 0.750 1
Np2 0.667 0.333 0.250 1
Fe1 0.000 0.000 0.000 1
Fe2 0.000 0.000 0.500 1
O1 0.061 0.369 0.622 1
O2 0.061 0.692 0.878 1
O3 0.308 0.369 0.878 1
O4 0.308 0.939 0.622 1
O5 0.369 0.061 0.122 1
O6 0.369 0.308 0.378 1
O7 0.631 0.692 0.622 1
O8 0.631 0.939 0.878 1
O9 0.692 0.061 0.378 1
O10 0.692 0.631 0.122 1
O11 0.939 0.308 0.122 1
O12 0.939 0.631 0.378 1
```